First-principles (GGA-PBE) data for an optimized crystal structure of Nd2Er12Tm, as listed in Alexandria.

a b c (Å): 7.108 11.137 23.952
angles (deg): 90.00 94.12 90.00
Space group C2/m (No. 12)
Asymmetric unit:
Nd  0.069  0.000  0.278 x4
Nd  0.071  0.500  0.279 x4
Er  0.016  0.251  0.066 x8
Er  0.032  0.000  0.132 x4
Er  0.032  0.500  0.133 x4
Er  0.112  0.251  0.445 x8
Er  0.141  0.000  0.572 x4
Er  0.143  0.500  0.571 x4
Er  0.167  0.251  0.670 x8
Er  0.203  0.250  0.809 x8
Tm  0.250  0.000  0.000 x4

Summary:
* spin magnetization: 0.0000 μB/atom
* E: -268.76 eV per cell
* energy relative to the elements: 105 meV per atom

***

First-principles (GGA-PBE) data for an optimized crystal structure of ErPd5Au, as listed in Alexandria.

a b c (Å): 9.530 5.245 10.149
angles (deg): 90.00 99.31 90.00
Space group C2/c (No. 15)
Asymmetric unit:
Er  0.000  0.212  0.250 x4
Pd  0.000  0.280  0.750 x4
Pd  0.152  0.035  0.547 x8
Pd  0.239  0.461  0.184 x8
Au  0.000  0.500  0.000 x4

Summary:
* spin magnetization: 0.0000 μB/atom
* E: -144.70 eV per cell
* distance to the lowest polymorph of the same formula: 0.009 eV/atom
* energy relative to the elements: -339 meV per atom